(1)
Entry from Alexandria: an optimized crystal structure of Zr2OsW (PBE).

Calculated values
For the final energy, the calculation gives -41.2 eV per cell. The formation energy is 0.02 eV per atom. For the density of states at the Fermi level, the calculation gives 3.55 states/eV/cell. Its spin magnetization is 0.00 μB per formula unit.

Cell lengths 5.425, 5.378, 2.960 Å; angles 78.71, 80.94, 117.45 degrees
Atoms (fractional coordinates):
Zr 0.000 0.000 0.000
Zr 0.500 0.000 0.500
Os 0.000 0.500 0.500
W 0.500 0.500 0.000

(2)
Entry from Alexandria: an optimized crystal structure of ZrOs2W (PBE).

Calculated values
For the final energy, the calculation gives -43.5 eV per cell. The formation energy is 0.12 eV per atom. For the density of states at the Fermi level, the calculation gives 3.99 states/eV/cell. Its spin magnetization is 0.00 μB per formula unit.

Cell lengths 5.325, 5.325, 5.325 Å; angles 145.71, 127.92, 63.85 degrees
Atoms (fractional coordinates):
W 0.750 0.250 0.500
Zr 0.250 0.750 0.500
Os 0.519 0.519 0.000
Os 0.981 0.981 0.000

(3)
Entry from Alexandria: an optimized crystal structure of Zr2OsW (PBE).

Calculated values
For the final energy, the calculation gives -41.3 eV per cell. The formation energy is 0.00 eV per atom. For the density of states at the Fermi level, the calculation gives 4.20 states/eV/cell. Its spin magnetization is 0.00 μB per formula unit.

Cell lengths 3.262, 4.806, 4.588 Å; angles 90.00, 90.00, 90.00 degrees
Atoms (fractional coordinates):
W 0.000 0.500 0.500
Zr 0.000 0.000 0.000
Zr 0.500 0.500 0.000
Os 0.500 0.000 0.500

(4)
Entry from Alexandria: an optimized crystal structure of ZrOs2W (PBE).

Calculated values
For the final energy, the calculation gives -43.5 eV per cell. The formation energy is 0.13 eV per atom. For the density of states at the Fermi level, the calculation gives 4.32 states/eV/cell. Its spin magnetization is 0.00 μB per formula unit.

Cell lengths 5.154, 5.154, 5.154 Å; angles 135.52, 135.52, 64.72 degrees
Atoms (fractional coordinates):
W 0.500 0.500 0.000
Os 0.250 0.750 0.500
Os 0.000 0.000 0.000
Zr 0.750 0.250 0.500

(5)
Entry from Alexandria: an optimized crystal structure of ZrOs2W (PBE).

Calculated values
For the final energy, the calculation gives -43.9 eV per cell. The formation energy is 0.01 eV per atom. For the density of states at the Fermi level, the calculation gives 3.15 states/eV/cell. Its spin magnetization is 0.00 μB per formula unit.

Cell lengths 4.598, 2.968, 4.939 Å; angles 81.91, 90.00, 90.00 degrees
Atoms (fractional coordinates):
W 0.000 0.507 0.437
Os 0.500 0.116 0.303
Os 0.000 0.167 0.944
Zr 0.500 0.711 0.815

(6)
Entry from Alexandria: an optimized crystal structure of ZrOs2W (PBE).

Calculated values
For the final energy, the calculation gives -44.3 eV per cell. The formation energy is -0.09 eV per atom. For the density of states at the Fermi level, the calculation gives 4.28 states/eV/cell. Its spin magnetization is 0.00 μB per formula unit.

Cell lengths 3.051, 3.051, 7.196 Å; angles 90.00, 90.00, 90.00 degrees
Atoms (fractional coordinates):
W 0.500 0.500 0.250
Zr 0.500 0.500 0.750
Os 0.000 0.000 0.030
Os 0.000 0.000 0.470

(7)
Entry from Alexandria: an optimized crystal structure of ZrOsW2 (PBE).

Calculated values
For the final energy, the calculation gives -44.5 eV per cell. The formation energy is 0.29 eV per atom. For the density of states at the Fermi level, the calculation gives 3.73 states/eV/cell. The calculation puts the energy above the most stable polymorph in this dataset at 357 meV/atom. Its spin magnetization is 0.00 μB per formula unit.

Cell lengths 9.931, 9.931, 9.931 Å; angles 16.41, 16.41, 16.41 degrees
Atoms (fractional coordinates):
W 0.255 0.255 0.255
W 0.004 0.004 0.004
Zr 0.498 0.498 0.498
Os 0.744 0.744 0.744

(8)
Entry from Alexandria: an optimized crystal structure of Zr2OsW (PBE).

Calculated values
For the final energy, the calculation gives -41.3 eV per cell. The formation energy is 0.00 eV per atom. For the density of states at the Fermi level, the calculation gives 3.90 states/eV/cell. Its spin magnetization is 0.00 μB per formula unit.

Cell lengths 4.575, 2.983, 5.427 Å; angles 78.35, 90.00, 90.00 degrees
Atoms (fractional coordinates):
Zr 0.000 0.992 0.995
Zr 0.500 0.262 0.257
Os 0.000 0.506 0.508
W 0.500 0.740 0.740

(9)
Entry from Alexandria: an optimized crystal structure of Zr4OsW (PBE).

Calculated values
For the final energy, the calculation gives -54.0 eV per cell. The formation energy is 0.73 eV per atom. For the density of states at the Fermi level, the calculation gives 7.00 states/eV/cell. Its spin magnetization is 0.00 μB per formula unit.

Cell lengths 5.522, 5.522, 5.522 Å; angles 60.00, 60.00, 60.00 degrees
Atoms (fractional coordinates):
Os 0.750 0.750 0.750
Zr 0.375 0.375 0.375
Zr 0.375 0.875 0.375
Zr 0.375 0.375 0.875
Zr 0.875 0.375 0.375
W 0.000 0.000 0.000

(10)
Entry from Alexandria: an optimized crystal structure of ZrOsW2 (PBE).

Calculated values
For the final energy, the calculation gives -45.5 eV per cell. The formation energy is 0.06 eV per atom. For the density of states at the Fermi level, the calculation gives 2.45 states/eV/cell. The calculation puts the energy above the most stable polymorph in this dataset at 120 meV/atom. Its spin magnetization is 0.00 μB per formula unit.

Cell lengths 5.345, 5.345, 4.636 Å; angles 64.35, 64.35, 34.86 degrees
Atoms (fractional coordinates):
W 0.741 0.741 0.759
W 0.002 0.002 0.998
Zr 0.501 0.501 0.499
Os 0.256 0.256 0.244

(11)
Entry from Alexandria: an optimized crystal structure of ZrOsW2 (PBE).

Calculated values
For the final energy, the calculation gives -45.8 eV per cell. The formation energy is -0.04 eV per atom. For the density of states at the Fermi level, the calculation gives 1.83 states/eV/cell. The calculation puts the energy above the most stable polymorph in this dataset at 24 meV/atom. Its spin magnetization is 0.00 μB per formula unit.

Cell lengths 3.216, 3.216, 6.565 Å; angles 90.00, 90.00, 90.00 degrees
Atoms (fractional coordinates):
W 0.500 0.500 0.231
W 0.000 0.000 0.005
Zr 0.000 0.000 0.503
Os 0.500 0.500 0.761

(12)
Entry from Alexandria: an optimized crystal structure of Zr2OsW (PBE).

Calculated values
For the final energy, the calculation gives -40.4 eV per cell. The formation energy is 0.23 eV per atom. For the density of states at the Fermi level, the calculation gives 4.64 states/eV/cell. Its spin magnetization is 0.00 μB per formula unit.

Cell lengths 9.115, 9.115, 9.115 Å; angles 19.63, 19.63, 19.63 degrees
Atoms (fractional coordinates):
Zr 0.997 0.997 0.997
Zr 0.503 0.503 0.503
Os 0.250 0.250 0.250
W 0.750 0.750 0.750

Which of these has the highest final energy?
number 12